1.
# Pu2B2S5

Pu2B2S5 after structural relaxation (PBE, the Alexandria database).

Computed properties:
The calculation puts the uncorrected formation energy at -0.53 eV per atom. For the density of states at the Fermi level, the calculation gives 3.1 states/eV per cell.

POSCAR file:
```
Pu2B2S5
1.0
5.798 -1.674 0.000
5.798 1.674 0.000
-2.472 0.000 9.248
Pu B S
2 2 5
direct
0.176 0.176 0.482
0.824 0.824 0.518
0.303 0.303 0.927
0.697 0.697 0.073
0.141 0.141 0.954
0.336 0.336 0.749
0.500 0.500 0.500
0.664 0.664 0.251
0.859 0.859 0.046
```

---

2.
# PuB2S6

PuB2S6 after structural relaxation (PBE, the Alexandria database).

Computed properties:
The calculation puts the uncorrected formation energy at -0.50 eV per atom. For the density of states at the Fermi level, the calculation gives 22.2 states/eV per cell.

POSCAR file:
```
PuB2S6
1.0
5.760 -5.172 0.000
5.760 5.172 0.000
-1.645 0.000 5.532
Pu B S
2 4 12
direct
0.179 0.821 0.750
0.821 0.179 0.250
0.237 0.345 0.804
0.345 0.237 0.304
0.655 0.763 0.696
0.763 0.655 0.196
0.083 0.160 0.669
0.126 0.542 0.007
0.160 0.083 0.169
0.274 0.442 0.539
0.442 0.274 0.039
0.458 0.874 0.493
0.542 0.126 0.507
0.558 0.726 0.961
0.726 0.558 0.461
0.840 0.917 0.831
0.874 0.458 0.993
0.917 0.840 0.331
```

---

3.
# PuBS2

PuBS2 after structural relaxation (PBE, the Alexandria database).

Computed properties:
The calculation puts the uncorrected formation energy at 0.14 eV per atom. For the density of states at the Fermi level, the calculation gives 6.3 states/eV per cell.

POSCAR file:
```
PuBS2
1.0
1.584 0.914 7.836
-1.584 0.914 7.836
0.000 -1.829 7.836
Pu B S
1 1 2
direct
0.000 0.000 0.000
0.500 0.500 0.500
0.117 0.117 0.117
0.883 0.883 0.883
```

---

4.
# PuBS

PuBS after structural relaxation (PBE, the Alexandria database).

Computed properties:
The calculation puts the uncorrected formation energy at -0.88 eV per atom. For the density of states at the Fermi level, the calculation gives 33.6 states/eV per cell.

POSCAR file:
```
PuBS
1.0
3.953 0.000 0.000
0.000 3.509 0.000
0.000 0.000 13.887
B Pu S
4 4 4
direct
0.000 0.250 0.524
0.500 0.250 0.024
0.000 0.750 0.476
0.500 0.750 0.976
0.000 0.250 0.889
0.500 0.250 0.389
0.000 0.750 0.111
0.500 0.750 0.611
0.000 0.250 0.664
0.500 0.250 0.164
0.500 0.750 0.836
0.000 0.750 0.336
```

---

5.
# PuBSb

PuBSb after structural relaxation (PBE, the Alexandria database).

Computed properties:
The calculation puts the uncorrected formation energy at -0.23 eV per atom. For the density of states at the Fermi level, the calculation gives 14.2 states/eV per cell.

POSCAR file:
```
PuBSb
1.0
6.969 -1.587 0.000
6.969 1.587 0.000
-0.340 0.000 5.748
Pu B Sb
2 2 2
direct
0.097 0.097 0.273
0.903 0.903 0.727
0.270 0.270 0.488
0.730 0.730 0.512
0.391 0.391 0.216
0.609 0.609 0.784
```

---

6.
# PuB2Se6

PuB2Se6 after structural relaxation (PBE, the Alexandria database).

Computed properties:
The calculation puts the uncorrected formation energy at -0.32 eV per atom. For the density of states at the Fermi level, the calculation gives 23.0 states/eV per cell.

POSCAR file:
```
PuB2Se6
1.0
6.014 -5.497 0.000
6.014 5.497 0.000
-1.716 0.000 5.916
Pu B Se
2 4 12
direct
0.179 0.821 0.750
0.821 0.179 0.250
0.244 0.351 0.798
0.351 0.244 0.298
0.649 0.756 0.702
0.756 0.649 0.202
0.084 0.161 0.667
0.140 0.549 0.009
0.161 0.084 0.167
0.273 0.452 0.528
0.451 0.860 0.491
0.452 0.273 0.028
0.548 0.727 0.972
0.549 0.140 0.509
0.727 0.548 0.472
0.839 0.916 0.833
0.860 0.451 0.991
0.916 0.839 0.333
```

---

7.
# PuBSe4

PuBSe4 after structural relaxation (PBE, the Alexandria database).

Computed properties:
The calculation puts the uncorrected formation energy at -0.43 eV per atom. For the density of states at the Fermi level, the calculation gives 20.9 states/eV per cell.

POSCAR file:
```
PuBSe4
1.0
6.722 0.000 0.000
0.000 6.743 0.000
0.000 0.000 7.549
Pu B Se
2 2 8
direct
0.000 0.000 0.000
0.000 0.500 0.500
0.000 0.000 0.500
0.500 0.000 0.000
0.172 0.174 0.331
0.172 0.826 0.669
0.365 0.232 0.880
0.365 0.768 0.120
0.635 0.232 0.120
0.635 0.768 0.880
0.828 0.174 0.669
0.828 0.826 0.331
```

---

8.
# PuBSe2

PuBSe2 after structural relaxation (PBE, the Alexandria database).

Computed properties:
The calculation puts the uncorrected formation energy at 0.29 eV per atom. For the density of states at the Fermi level, the calculation gives 7.0 states/eV per cell.

POSCAR file:
```
PuBSe2
1.0
1.659 0.958 8.364
-1.659 0.958 8.364
0.000 -1.916 8.364
Pu B Se
1 1 2
direct
0.000 0.000 0.000
0.500 0.500 0.500
0.115 0.115 0.115
0.885 0.885 0.885
```

---

9.
# PuBSe3

PuBSe3 after structural relaxation (PBE, the Alexandria database).

Computed properties:
The calculation puts the uncorrected formation energy at -0.63 eV per atom. For the density of states at the Fermi level, the calculation gives 18.5 states/eV per cell.

POSCAR file:
```
PuBSe3
1.0
-7.293 3.510 3.473
7.293 -3.510 3.473
7.293 3.510 -3.473
Pu B Se
2 2 6
direct
0.060 0.250 0.310
0.940 0.750 0.690
0.537 0.317 0.720
0.597 0.817 0.280
0.198 0.610 0.088
0.522 0.110 0.912
0.530 0.304 0.495
0.530 0.535 0.726
0.809 0.035 0.505
0.809 0.804 0.274
```

---

10.
# PuSiB

PuSiB after structural relaxation (PBE, the Alexandria database).

Computed properties:
The calculation puts the uncorrected formation energy at -0.42 eV per atom. For the density of states at the Fermi level, the calculation gives 7.4 states/eV per cell.

POSCAR file:
```
PuSiB
1.0
3.555 0.000 0.000
-1.777 3.079 0.000
0.000 0.000 4.170
Pu Si B
1 1 1
direct
0.000 0.000 0.000
0.667 0.333 0.500
0.333 0.667 0.500
```

---

11.
# PuSiB

PuSiB after structural relaxation (PBE, the Alexandria database).

Computed properties:
The calculation puts the uncorrected formation energy at -0.03 eV per atom. For the density of states at the Fermi level, the calculation gives 16.4 states/eV per cell.

POSCAR file:
```
PuSiB
1.0
12.474 0.000 0.000
0.000 3.498 0.000
0.000 0.000 3.652
Pu Si B
4 4 4
direct
0.058 0.250 0.145
0.442 0.750 0.645
0.558 0.250 0.355
0.942 0.750 0.855
0.250 0.250 0.645
0.250 0.750 0.145
0.750 0.250 0.855
0.750 0.750 0.355
0.151 0.750 0.636
0.349 0.250 0.136
0.651 0.750 0.864
0.849 0.250 0.364
```

---

12.
# PuSi2B

PuSi2B after structural relaxation (PBE, the Alexandria database).

Computed properties:
The calculation puts the uncorrected formation energy at 0.41 eV per atom. For the density of states at the Fermi level, the calculation gives 6.8 states/eV per cell.

POSCAR file:
```
PuSi2B
1.0
2.517 1.453 3.155
-2.517 1.453 3.155
0.000 -2.907 3.155
Pu Si B
1 2 1
direct
0.000 0.000 0.000
0.295 0.295 0.295
0.705 0.705 0.705
0.500 0.500 0.500
```

---

13.
# PuSiB

PuSiB after structural relaxation (PBE, the Alexandria database).

Computed properties:
The calculation puts the uncorrected formation energy at -0.40 eV per atom. For the density of states at the Fermi level, the calculation gives 15.7 states/eV per cell.

POSCAR file:
```
PuSiB
1.0
-1.762 3.137 4.179
1.762 -3.137 4.179
1.762 3.137 -4.179
Pu Si B
2 2 2
direct
0.249 0.249 0.000
0.751 0.751 0.000
0.311 0.000 0.311
0.689 0.000 0.689
0.139 0.500 0.639
0.861 0.500 0.361
```

---

14.
# Pu2Si3B

Pu2Si3B after structural relaxation (PBE, the Alexandria database).

Computed properties:
The calculation puts the uncorrected formation energy at -0.40 eV per atom. For the density of states at the Fermi level, the calculation gives 16.1 states/eV per cell.

POSCAR file:
```
Pu2Si3B
1.0
3.776 0.000 0.000
0.000 4.070 0.000
0.000 0.000 6.629
Pu Si B
2 3 1
direct
0.000 0.000 0.000
0.500 0.000 0.486
0.000 0.500 0.304
0.000 0.500 0.658
0.500 0.500 0.859
0.500 0.500 0.168
```

---

15.
# Pu2Si2Tc2B

Pu2Si2Tc2B after structural relaxation (PBE, the Alexandria database).

Computed properties:
The calculation puts the uncorrected formation energy at -0.39 eV per atom. For the density of states at the Fermi level, the calculation gives 18.9 states/eV per cell.

POSCAR file:
```
Pu2Si2Tc2B
1.0
5.446 -2.013 0.000
5.446 2.013 0.000
-4.162 0.000 5.601
Pu Si Tc B
2 2 2 1
direct
0.079 0.079 0.309
0.921 0.921 0.691
0.365 0.365 0.323
0.635 0.635 0.677
0.285 0.285 0.909
0.715 0.715 0.091
0.500 0.500 0.000
```

---

16.
# SmPuB12

SmPuB12 after structural relaxation (PBE, the Alexandria database).

Computed properties:
As for the formation enthalpy at 0 K: -0.42 eV per atom. For the density of states at the Fermi level, the calculation gives 7.1 states/eV per cell.

POSCAR file:
```
SmPuB12
1.0
4.114 0.000 0.000
0.000 4.114 0.000
0.000 0.000 8.229
Sm Pu B
1 1 12
direct
0.000 0.000 0.000
0.000 0.000 0.500
0.199 0.500 0.250
0.199 0.500 0.750
0.500 0.199 0.250
0.500 0.199 0.750
0.500 0.500 0.100
0.500 0.500 0.401
0.500 0.500 0.599
0.500 0.500 0.900
0.500 0.801 0.250
0.500 0.801 0.750
0.801 0.500 0.250
0.801 0.500 0.750
```

---

17.
# SmPuB4

SmPuB4 after structural relaxation (PBE, the Alexandria database).

Computed properties:
As for the formation enthalpy at 0 K: 0.35 eV per atom. For the density of states at the Fermi level, the calculation gives 13.2 states/eV per cell.

POSCAR file:
```
SmPuB4
1.0
0.000 3.399 3.399
3.399 0.000 3.399
3.399 3.399 0.000
Sm Pu B
1 1 4
direct
0.000 0.000 0.000
0.750 0.750 0.750
0.409 0.409 0.409
0.409 0.409 0.773
0.409 0.773 0.409
0.773 0.409 0.409
```

---

18.
# SmPuB

SmPuB after structural relaxation (PBE, the Alexandria database).

Computed properties:
As for the formation enthalpy at 0 K: -0.04 eV per atom. For the density of states at the Fermi level, the calculation gives 9.2 states/eV per cell.

POSCAR file:
```
SmPuB
1.0
3.008 -1.742 0.000
3.008 1.742 0.000
-2.036 0.000 11.012
Sm Pu B
2 2 2
direct
0.060 0.060 0.176
0.940 0.940 0.824
0.185 0.185 0.555
0.815 0.815 0.445
0.334 0.334 0.001
0.666 0.666 0.999
```

---

19.
# SmPuB4

SmPuB4 after structural relaxation (PBE, the Alexandria database).

Computed properties:
As for the formation enthalpy at 0 K: -0.22 eV per atom. For the density of states at the Fermi level, the calculation gives 10.5 states/eV per cell.

POSCAR file:
```
SmPuB4
1.0
3.815 -4.874 0.000
3.815 4.874 0.000
0.000 0.000 4.046
Sm Pu B
2 2 8
direct
0.190 0.810 0.000
0.810 0.190 0.000
0.335 0.335 0.000
0.665 0.665 0.000
0.114 0.442 0.500
0.119 0.119 0.500
0.398 0.602 0.500
0.442 0.114 0.500
0.558 0.886 0.500
0.602 0.398 0.500
0.881 0.881 0.500
0.886 0.558 0.500
```

---

20.
# PuSnB

PuSnB after structural relaxation (PBE, the Alexandria database).

Computed properties:
As for the formation enthalpy at 0 K: 0.11 eV per atom. For the density of states at the Fermi level, the calculation gives 7.5 states/eV per cell.

POSCAR file:
```
PuSnB
1.0
2.156 -7.966 0.000
2.156 7.966 0.000
0.000 0.000 3.159
Pu Sn B
2 2 2
direct
0.056 0.944 0.750
0.944 0.056 0.250
0.319 0.681 0.750
0.681 0.319 0.250
0.477 0.523 0.750
0.523 0.477 0.250
```

---

21.
# PuTa2B6

PuTa2B6 after structural relaxation (PBE, the Alexandria database).

Computed properties:
As for the formation enthalpy at 0 K: -0.59 eV per atom. For the density of states at the Fermi level, the calculation gives 5.8 states/eV per cell.

POSCAR file:
```
PuTa2B6
1.0
5.458 0.000 0.000
-2.729 4.726 0.000
0.000 0.000 3.524
Pu Ta B
1 2 6
direct
0.000 0.000 0.000
0.333 0.667 0.000
0.667 0.333 0.000
0.000 0.338 0.500
0.000 0.662 0.500
0.338 0.000 0.500
0.338 0.338 0.500
0.662 0.000 0.500
0.662 0.662 0.500
```

---

22.
# Pu2TaB6

Pu2TaB6 after structural relaxation (PBE, the Alexandria database).

Computed properties:
As for the formation enthalpy at 0 K: 0.12 eV per atom. For the density of states at the Fermi level, the calculation gives 6.9 states/eV per cell.

POSCAR file:
```
Pu2TaB6
1.0
-1.488 3.766 4.442
1.488 -3.766 4.442
1.488 3.766 -4.442
Pu Ta B
2 1 6
direct
0.126 0.126 0.000
0.874 0.874 0.000
0.500 0.000 0.500
0.070 0.307 0.763
0.241 0.500 0.741
0.457 0.693 0.763
0.543 0.307 0.237
0.759 0.500 0.259
0.930 0.693 0.237
```

---

23.
# TbPuB

TbPuB after structural relaxation (PBE, the Alexandria database).

Computed properties:
As for the formation enthalpy at 0 K: 0.06 eV per atom. For the density of states at the Fermi level, the calculation gives 17.4 states/eV per cell.

POSCAR file:
```
TbPuB
1.0
7.007 0.000 0.000
-3.503 6.068 0.000
0.000 0.000 4.062
Tb Pu B
3 3 3
direct
0.000 0.424 0.000
0.424 0.000 0.000
0.576 0.576 0.000
0.000 0.751 0.500
0.249 0.249 0.500
0.751 0.000 0.500
0.000 0.000 0.000
0.333 0.667 0.500
0.667 0.333 0.500
```